# Li3LaGe (PBE, optimized geometry)
data_Li3LaGe
_cell_length_a 4.761
_cell_length_b 4.761
_cell_length_c 4.761
_cell_angle_alpha 90.00
_cell_angle_beta 90.00
_cell_angle_gamma 90.00
_symmetry_space_group_name_H-M 'P 1'
_symmetry_Int_Tables_number 1
loop_
_symmetry_equiv_pos_as_xyz
'x,y,z'
loop_
_atom_site_label
_atom_site_fract_x
_atom_site_fract_y
_atom_site_fract_z
_atom_site_occupancy
Ge1 0.000 0.000 0.000 1
Li1 0.000 0.500 0.000 1
La1 0.500 0.500 0.500 1
Li2 0.500 0.000 0.000 1
Li3 0.000 0.000 0.500 1
# * ΔE_f: -90 meV per atom
# * energy above the lowest structure with this stoichiometry: 0 meV/atom
# * M_tot: 0.000 μB/f.u.
# * symmetry: Pm-3m (221)

=====

# HfThTeN2 (PBE, optimized geometry)
data_HfThTeN2
_cell_length_a 4.159
_cell_length_b 7.128
_cell_length_c 7.779
_cell_angle_alpha 112.48
_cell_angle_beta 90.00
_cell_angle_gamma 90.00
_symmetry_space_group_name_H-M 'P 1'
_symmetry_Int_Tables_number 1
loop_
_symmetry_equiv_pos_as_xyz
'x,y,z'
loop_
_atom_site_label
_atom_site_fract_x
_atom_site_fract_y
_atom_site_fract_z
_atom_site_occupancy
Te1 0.250 0.022 0.737 1
N1 0.750 0.527 0.395 1
Hf1 0.750 0.374 0.574 1
Th1 0.750 0.325 0.065 1
Th2 0.250 0.675 0.935 1
Hf2 0.250 0.626 0.426 1
N2 0.250 0.487 0.131 1
Te2 0.750 0.978 0.263 1
N3 0.250 0.473 0.605 1
N4 0.750 0.513 0.869 1
# * VASP energy: -0.6657 Ry/atom
# * M_tot: 0.000 μB/f.u.
# * symmetry: P2_1/m (11)

=====

# ZrTaIn (PBE, optimized geometry)
data_ZrTaIn
_cell_length_a 7.245
_cell_length_b 7.245
_cell_length_c 3.013
_cell_angle_alpha 78.00
_cell_angle_beta 78.00
_cell_angle_gamma 24.00
_symmetry_space_group_name_H-M 'P 1'
_symmetry_Int_Tables_number 1
loop_
_symmetry_equiv_pos_as_xyz
'x,y,z'
loop_
_atom_site_label
_atom_site_fract_x
_atom_site_fract_y
_atom_site_fract_z
_atom_site_occupancy
Zr1 0.672 0.672 0.328 1
In1 0.995 0.995 0.005 1
Ta1 0.333 0.333 0.667 1
# * ΔE_f: -18 meV per atom
# * energy above the lowest structure with this stoichiometry: 0 meV/atom
# * M_tot: 0.000 μB/f.u.
# * symmetry: I4mm (107)

=====

M_tot of number 3 (ZrTaIn)? 0.000 μB/f.u.